1.
Material: CrSb2As
Method: DFT, PBE-GGA
State: relaxed

Cell lengths 3.5182, 4.8252, 5.2868 Å; angles 90.00, 90.00, 90.00 degrees
Last column: nearest neighbours and their distance in Å.
Space group Pmmm (No. 47)
Symmetry-distinct sites (fractional):
Cr (0.0000, 0.0000, 0.0000) x1  4 Sb 2.99, 4 As 3.18
Sb (0.0000, 0.5000, 0.5000) x1  4 As 2.99, 4 Sb 3.18
Sb (0.5000, 0.5000, 0.0000) x1  4 Cr 2.99, 4 Sb 3.18
As (0.5000, 0.0000, 0.5000) x1  4 Sb 2.99, 4 Cr 3.18

D(E_F) = 2.58 states/eV/f.u.
E = -5.21 eV/atom
formation energy without anion corrections = 416 meV per atom

***

2.
Material: CrAg2P
Method: DFT, PBE-GGA
State: relaxed

Cell lengths 3.7927, 3.7927, 9.2484 Å; angles 90.00, 90.00, 90.00 degrees
Last column: nearest neighbours and their distance in Å.
Space group I4/mmm (No. 139)
Symmetry-distinct sites (fractional):
Cr (0.0000, 0.0000, 0.0000) x2  4 P 2.68, 8 Ag 2.99
Ag (0.0000, 0.5000, 0.2500) x4  4 Ag 2.68, 4 Cr 2.99, 4 P 2.99
P (0.0000, 0.0000, 0.5000) x2  4 Cr 2.68, 8 Ag 2.99

energy relative to the elements = 273 meV per atom
D(E_F) = 1.25 states/eV/f.u.
E = -4.91 eV/atom

***

3.
Material: Rb2HgSeS
Method: DFT, PBE-GGA
State: relaxed

Cell lengths 4.4307, 5.2430, 18.0168 Å; angles 90.00, 90.00, 90.00 degrees
Last column: nearest neighbours and their distance in Å.
Space group Imm2 (No. 44)
Symmetry-distinct sites (fractional):
Rb (0.0000, 0.0000, 0.0000) x2  2 S 3.21, 1 Se 3.24
Rb (0.0000, 0.0000, 0.2847) x2  4 Se 3.49
Hg (0.0000, 0.0000, 0.6775) x2  1 Se 2.57, 2 S 2.59
Se (0.0000, 0.0000, 0.8202) x2  1 Hg 2.57
S (0.0000, 0.5000, 0.1032) x2  2 Hg 2.59

D(E_F) = 0.53 states/eV/f.u.
E = -2.70 eV/atom
formation energy without anion corrections = -727 meV per atom

***

4.
Material: AcPm2Dy
Method: DFT, PBE-GGA
State: relaxed

Cell lengths 3.7269, 3.7269, 36.0971 Å; angles 90.00, 90.00, 120.00 degrees
Last column: nearest neighbours and their distance in Å.
Space group R-3m (No. 166, hexagonal axes)
Symmetry-distinct sites (fractional):
Ac (0.0000, 0.0000, 0.0000) x3  6 Ac 3.73, 6 Pm 3.80
Pm (0.0000, 0.0000, 0.2466) x6  3 Dy 3.60, 6 Pm 3.73, 3 Ac 3.80
Dy (0.0000, 0.0000, 0.5000) x3  6 Pm 3.60, 6 Dy 3.73

energy relative to the elements = 48 meV per atom
energy above the lowest structure with this stoichiometry = 11.8 meV per atom
D(E_F) = 5.75 states/eV/f.u.
E = -4.50 eV/atom

***

Question: Which value of D(E_F) does entry 3 give?
Answer: 0.53 states/eV/f.u.